Below is a relaxed ZrBeCu2Ag crystal, with properties calculated at the PBE level.

Results
- Crystal system: tetragonal
- E_tot: -4.24 eV per atom
- DOS(E_F): 0.683 states/eV per atom
- Volume: 82 Å³/cell
- ΔE_f: 0.42 eV/atom

Cell: 4.1656 4.1656 4.7041 Å, 90.00 90.00 90.00°
Sites, in units of the cell vectors:
Zr 0.0000 0.0000 0.0000
Be 0.0000 0.0000 0.5000
Cu 0.0000 0.5000 0.5000
Cu 0.5000 0.0000 0.5000
Ag 0.5000 0.5000 0.0000